(1)
A plane-wave DFT calculation with GGA-PBE was carried out for crystalline ThRhI at its relaxed geometry.

Cell lengths 12.830, 13.769, 7.829 Å; angles 90.00, 90.00, 90.00 degrees
Space group Fdd2 (No. 43)
One atom of each set of equivalent atoms:
Th (0.107, 0.283, 0.000) [16 per cell]
Rh (0.031, 0.357, 0.322) [16 per cell]
I (0.115, 0.405, 0.641) [16 per cell]

For the calculated total energy, the calculation gives -6.11 eV/atom. Its spin magnetization is 0.00 Bohr magnetons per cell. The value obtained for the formation energy (no corrections) is -0.6713 eV/atom. As for the density: 8.872 Mg/m³.


(2)
A plane-wave DFT calculation with GGA-PBE was carried out for crystalline YThRhI at its relaxed geometry.

Cell lengths 4.1514, 4.1514, 24.4639 Å; angles 90.00, 90.00, 120.00 degrees
Space group R3m (No. 160, hexagonal axes)
One atom of each set of equivalent atoms:
Y (0.0000, 0.0000, 0.0000) [3 per cell]
Th (0.0000, 0.0000, 0.2138) [3 per cell]
Rh (0.0000, 0.0000, 0.6038) [3 per cell]
I (0.0000, 0.0000, 0.7715) [3 per cell]

For the calculated total energy, the calculation gives -6.57 eV/atom. Its spin magnetization is 0.00 Bohr magnetons per cell. The value obtained for the formation energy (no corrections) is -0.8700 eV/atom. As for the density: 7.515 Mg/m³.


(3)
A plane-wave DFT calculation with GGA-PBE was carried out for crystalline TiRhI at its relaxed geometry.

Cell lengths 10.994, 3.635, 6.220 Å; angles 90.00, 90.00, 90.00 degrees
Space group Amm2 (No. 38)
One atom of each set of equivalent atoms:
Ti (0.137, 0.000, 0.000) [4 per cell]
Rh (0.000, 0.000, 0.666) [2 per cell]
Rh (0.500, 0.000, 0.953) [2 per cell]
I (0.318, 0.000, 0.667) [4 per cell]

For the calculated total energy, the calculation gives -5.56 eV/atom. Its spin magnetization is 0.00 Bohr magnetons per cell. The value obtained for the formation energy (no corrections) is 0.0359 eV/atom. As for the density: 7.419 Mg/m³.


(4)
A plane-wave DFT calculation with GGA-PBE was carried out for crystalline Ti2RhI at its relaxed geometry.

Cell lengths 6.548, 6.548, 6.548 Å; angles 90.00, 90.00, 90.00 degrees
Space group Fm-3m (No. 225)
One atom of each set of equivalent atoms:
Ti (0.250, 0.250, 0.250) [8 per cell]
Rh (0.000, 0.000, 0.000) [4 per cell]
I (0.000, 0.000, 0.500) [4 per cell]

For the calculated total energy, the calculation gives -6.09 eV/atom. Its spin magnetization is 0.00 Bohr magnetons per cell. The value obtained for the formation energy (no corrections) is 0.0789 eV/atom. As for the density: 7.701 Mg/m³. Its energy above the most stable polymorph in this dataset is 0.00 eV/f.u.


(5)
A plane-wave DFT calculation with GGA-PBE was carried out for crystalline TiRhI3 at its relaxed geometry.

Cell lengths 5.464, 5.464, 5.464 Å; angles 90.00, 90.00, 90.00 degrees
Space group Pm-3m (No. 221)
One atom of each set of equivalent atoms:
Ti (0.000, 0.000, 0.000) [1 per cell]
Rh (0.500, 0.500, 0.500) [1 per cell]
I (0.000, 0.000, 0.500) [3 per cell]

For the calculated total energy, the calculation gives -3.42 eV/atom. Its spin magnetization is 0.00 Bohr magnetons per cell. The value obtained for the formation energy (no corrections) is 0.5565 eV/atom. As for the density: 5.409 Mg/m³.


(6)
A plane-wave DFT calculation with GGA-PBE was carried out for crystalline Ti3RhI at its relaxed geometry.

Cell lengths 4.819, 4.819, 4.819 Å; angles 90.00, 90.00, 90.00 degrees
Space group Pm-3m (No. 221)
One atom of each set of equivalent atoms:
Ti (0.000, 0.000, 0.500) [3 per cell]
Rh (0.000, 0.000, 0.000) [1 per cell]
I (0.500, 0.500, 0.500) [1 per cell]

For the calculated total energy, the calculation gives -6.19 eV/atom. Its spin magnetization is 1.29 Bohr magnetons per cell. The value obtained for the formation energy (no corrections) is 0.3234 eV/atom. As for the density: 5.542 Mg/m³. Its energy above the most stable polymorph in this dataset is 0.00 eV/f.u.


(7)
A plane-wave DFT calculation with GGA-PBE was carried out for crystalline Ti2RhI at its relaxed geometry.

Cell lengths 6.092, 6.092, 11.502 Å; angles 90.00, 90.00, 90.00 degrees
Space group I-42d (No. 122)
One atom of each set of equivalent atoms:
Ti (0.191, 0.250, 0.125) [8 per cell]
Rh (0.000, 0.000, 0.000) [4 per cell]
I (0.000, 0.000, 0.500) [4 per cell]

For the calculated total energy, the calculation gives -5.88 eV/atom. Its spin magnetization is 8.65 Bohr magnetons per cell. The value obtained for the formation energy (no corrections) is 0.2943 eV/atom. As for the density: 5.065 Mg/m³. Its energy above the most stable polymorph in this dataset is 0.86 eV/f.u.


(8)
A plane-wave DFT calculation with GGA-PBE was carried out for crystalline YTi2RhI at its relaxed geometry.

Cell lengths 4.972, 4.972, 4.914 Å; angles 90.00, 90.00, 90.00 degrees
Space group P4/mmm (No. 123)
One atom of each set of equivalent atoms:
Y (0.000, 0.000, 0.000) [1 per cell]
Ti (0.000, 0.500, 0.500) [2 per cell]
Rh (0.500, 0.500, 0.000) [1 per cell]
I (0.500, 0.500, 0.500) [1 per cell]

For the calculated total energy, the calculation gives -5.67 eV/atom. Its spin magnetization is 0.98 Bohr magnetons per cell. The value obtained for the formation energy (no corrections) is 0.5597 eV/atom. As for the density: 5.665 Mg/m³.


(9)
A plane-wave DFT calculation with GGA-PBE was carried out for crystalline YTiRhI2 at its relaxed geometry.

Cell lengths 5.405, 5.405, 4.735 Å; angles 90.00, 90.00, 90.00 degrees
Space group P4/mmm (No. 123)
One atom of each set of equivalent atoms:
Y (0.000, 0.000, 0.000) [1 per cell]
Ti (0.500, 0.500, 0.000) [1 per cell]
Rh (0.500, 0.500, 0.500) [1 per cell]
I (0.000, 0.500, 0.500) [2 per cell]

For the calculated total energy, the calculation gives -4.75 eV/atom. Its spin magnetization is 1.78 Bohr magnetons per cell. The value obtained for the formation energy (no corrections) is 0.2171 eV/atom. As for the density: 5.925 Mg/m³.


(10)
A plane-wave DFT calculation with GGA-PBE was carried out for crystalline TiZnRh2I at its relaxed geometry.

Cell lengths 4.624, 4.624, 4.754 Å; angles 90.00, 90.00, 90.00 degrees
Space group P4/mmm (No. 123)
One atom of each set of equivalent atoms:
Ti (0.000, 0.000, 0.000) [1 per cell]
Zn (0.000, 0.000, 0.500) [1 per cell]
Rh (0.000, 0.500, 0.500) [2 per cell]
I (0.500, 0.500, 0.000) [1 per cell]

For the calculated total energy, the calculation gives -4.30 eV/atom. Its spin magnetization is 0.00 Bohr magnetons per cell. The value obtained for the formation energy (no corrections) is 0.7858 eV/atom. As for the density: 7.285 Mg/m³.


(11)
A plane-wave DFT calculation with GGA-PBE was carried out for crystalline Tl2RhI6 at its relaxed geometry.

Cell lengths 7.511, 7.511, 13.320 Å; angles 90.00, 90.00, 90.00 degrees
Space group P4_2/mnm (No. 136)
One atom of each set of equivalent atoms:
Tl (0.000, 0.000, 0.155) [4 per cell]
Rh (0.000, 0.000, 0.500) [2 per cell]
I (0.178, 0.178, 0.355) [8 per cell]
I (0.245, 0.245, 0.000) [4 per cell]

For the calculated total energy, the calculation gives -2.67 eV/atom. Its spin magnetization is 0.00 Bohr magnetons per cell. The value obtained for the formation energy (no corrections) is -0.2972 eV/atom. As for the density: 5.627 Mg/m³.


(12)
A plane-wave DFT calculation with GGA-PBE was carried out for crystalline Tl2RhI at its relaxed geometry.

Cell lengths 7.669, 7.669, 7.669 Å; angles 90.00, 90.00, 90.00 degrees
Space group Fm-3m (No. 225)
One atom of each set of equivalent atoms:
Tl (0.250, 0.250, 0.250) [8 per cell]
Rh (0.000, 0.000, 0.000) [4 per cell]
I (0.000, 0.000, 0.500) [4 per cell]

For the calculated total energy, the calculation gives -2.88 eV/atom. Its spin magnetization is 3.00 Bohr magnetons per cell. The value obtained for the formation energy (no corrections) is 0.5328 eV/atom. As for the density: 9.403 Mg/m³. Its energy above the most stable polymorph in this dataset is 1.45 eV/f.u.